Record 1
Compound: MnHgTe4
Source: Alexandria via LeMat-Bulk
Functional: PBE-GGA
Structure: optimized geometry

Results
**ρ**: 6.85 g/cm3
**DOS at the Fermi energy**: 6.099 states/eV per cell
**Total moment**: 5.34 μB/f.u.
**Raw formation energy**: 0.526 eV per atom

a b c (Å): 9.0564 9.0564 9.0564
angles (deg): 90.00 90.00 90.00
Space group F-43m (No. 216)
One atom of each set of equivalent atoms:
Mn (0.0000, 0.0000, 0.0000) (multiplicity 4)
Hg (0.2500, 0.2500, 0.2500) (multiplicity 4)
Te (0.1255, 0.1255, 0.6255) (multiplicity 16)

***

Record 2
Compound: BeNbIr
Source: Alexandria via LeMat-Bulk
Functional: PBE-GGA
Structure: optimized geometry

Results
**ρ**: 12.10 g/cm3
**DOS at the Fermi energy**: 9.068 states/eV per cell
**Distance to the lowest polymorph of the same formula**: 0.000 eV/atom
**Energy of formation**: -165 kJ/mol of formula units
**Total moment**: 0.00 μB/f.u.

a b c (Å): 11.0348 3.4229 6.4129
angles (deg): 90.00 90.00 90.00
Space group Pmma (No. 51)
One atom of each set of equivalent atoms:
Be (0.0924, 0.0000, 0.0527) (multiplicity 4)
Be (0.2500, 0.5000, 0.5537) (multiplicity 2)
Nb (0.0423, 0.5000, 0.7680) (multiplicity 4)
Nb (0.2500, 0.5000, 0.1463) (multiplicity 2)
Ir (0.1220, 0.0000, 0.4251) (multiplicity 4)
Ir (0.2500, 0.0000, 0.8018) (multiplicity 2)

***

Record 3
Compound: ReAgSbI2
Source: Alexandria via LeMat-Bulk
Functional: PBE-GGA
Structure: optimized geometry

Results
**ρ**: 6.36 g/cm3
**DOS at the Fermi energy**: 3.124 states/eV per cell
**Distance to the lowest polymorph of the same formula**: 0.639 eV/atom
**Total moment**: 4.07 μB/f.u.
**Raw formation energy**: 1.503 eV per atom

a b c (Å): 5.6030 5.6030 5.5673
angles (deg): 90.00 90.00 90.00
Space group P4/mmm (No. 123)
One atom of each set of equivalent atoms:
Re (0.0000, 0.0000, 0.0000) (multiplicity 1)
Ag (0.5000, 0.5000, 0.5000) (multiplicity 1)
Sb (0.5000, 0.5000, 0.0000) (multiplicity 1)
I (0.0000, 0.5000, 0.5000) (multiplicity 2)

***

Record 4
Compound: LiAgOs3
Source: Alexandria via LeMat-Bulk
Functional: PBE-GGA
Structure: optimized geometry

Results
**ρ**: 9.94 g/cm3
**DOS at the Fermi energy**: 5.373 states/eV per cell
**Distance to the lowest polymorph of the same formula**: 1.321 eV/atom
**Energy of formation**: 1416 kJ/mol of formula units
**Total moment**: 5.43 μB/f.u.

a b c (Å): 4.8556 4.8556 4.8556
angles (deg): 90.00 90.00 90.00
Space group Pm-3m (No. 221)
One atom of each set of equivalent atoms:
Li (0.0000, 0.0000, 0.0000) (multiplicity 1)
Ag (0.5000, 0.5000, 0.5000) (multiplicity 1)
Os (0.0000, 0.5000, 0.5000) (multiplicity 3)

***

Record 5
Compound: ScGe2PRh
Source: Alexandria via LeMat-Bulk
Functional: PBE-GGA
Structure: optimized geometry

Results
**ρ**: 5.34 g/cm3
**DOS at the Fermi energy**: 2.831 states/eV per cell
**Energy of formation**: 166 kJ/mol of formula units
**Total moment**: 0.00 μB/f.u.

a b c (Å): 4.6146 4.6146 4.7368
angles (deg): 90.00 90.00 90.00
Space group P4/mmm (No. 123)
One atom of each set of equivalent atoms:
Sc (0.0000, 0.0000, 0.0000) (multiplicity 1)
Ge (0.0000, 0.5000, 0.5000) (multiplicity 2)
P (0.0000, 0.0000, 0.5000) (multiplicity 1)
Rh (0.5000, 0.5000, 0.0000) (multiplicity 1)

***

Record 6
Compound: K5Br2ClO
Source: Alexandria via LeMat-Bulk
Functional: PBE-GGA
Structure: optimized geometry

Results
**ρ**: 2.23 g/cm3
**Total moment**: 0.00 μB/f.u.
**Raw formation energy**: -1.532 eV per atom

a b c (Å): 5.1111 7.5301 15.7731
angles (deg): 90.00 90.00 90.00
Space group Immm (No. 71)
One atom of each set of equivalent atoms:
K (0.0000, 0.0000, 0.0000) (multiplicity 2)
K (0.0000, 0.2603, 0.3810) (multiplicity 8)
Br (0.0000, 0.0000, 0.2107) (multiplicity 4)
Cl (0.0000, 0.5000, 0.0000) (multiplicity 2)
O (0.0000, 0.5000, 0.5000) (multiplicity 2)